The following is a meta-GGA SCAN calculation of a PBEsol-optimized structure of LaCI2O, from Alexandria via LeMat-Bulk.

Lattice parameters (Å, degrees): 5.439 5.439 3.581 90.00 90.00 90.00
Space group P4/mmm (No. 123)
One atom of each set of equivalent atoms:
La1 0.000 0.000 0.000 (multiplicity 1)
C1 0.500 0.500 0.500 (multiplicity 1)
I1 0.000 0.500 0.500 (multiplicity 2)
O1 0.500 0.500 0.000 (multiplicity 1)

ΔE_f (raw), eV/atom: 0.304
Crystal system: tetragonal

=====

The following is a meta-GGA SCAN calculation of a PBEsol-optimized structure of Mg5Bi, from Alexandria via LeMat-Bulk.

Lattice parameters (Å, degrees): 5.170 3.382 16.428 90.00 90.00 90.00
Space group Amm2 (No. 38)
One atom of each set of equivalent atoms:
Mg1 0.000 0.000 0.000 (multiplicity 2)
Mg2 0.000 0.000 0.326 (multiplicity 2)
Mg3 0.000 0.000 0.665 (multiplicity 2)
Mg4 0.500 0.000 0.116 (multiplicity 2)
Mg5 0.500 0.000 0.776 (multiplicity 2)
Bi1 0.500 0.000 0.443 (multiplicity 2)

ΔH_f (0 K), eV/atom: -0.04
Crystal system: orthorhombic